Compound: UCd2NiO6
Source: Alexandria via LeMat-Bulk
Functional: PBE+U
Structure: optimized geometry

Unit cell a=5.5257 b=5.6980 c=9.7911 alpha=90.00 beta=124.23 gamma=90.00
Last column: nearest neighbours and their distance in Å.
Fractional positions:
U (0.0000, 0.0000, 0.0000)  6 O 2.08-2.14
U (0.0000, 0.5000, 0.5000)  6 O 2.08-2.14
Cd (0.2592, 0.0465, 0.7500)  4 O 2.28-2.37
Cd (0.2592, 0.4535, 0.2500)  4 O 2.28-2.37
Cd (0.7408, 0.5465, 0.7500)  4 O 2.28-2.37
Cd (0.7408, 0.9535, 0.2500)  4 O 2.28-2.37
Ni (0.5000, 0.0000, 0.5000)  6 O 2.09-2.13
Ni (0.5000, 0.5000, 0.0000)  6 O 2.09-2.13
O (0.1418, 0.0543, 0.2511)  1 Ni 2.13, 1 U 2.14, 2 Cd 2.28-2.37
O (0.1418, 0.4457, 0.7511)  1 Ni 2.13, 1 U 2.14, 2 Cd 2.28-2.37
O (0.2478, 0.6950, 0.0598)  1 U 2.08, 1 Ni 2.11, 1 Cd 2.29
O (0.2478, 0.8050, 0.5598)  1 U 2.08, 1 Ni 2.11, 1 Cd 2.29
O (0.3663, 0.1946, 0.0577)  1 U 2.09, 1 Ni 2.09, 1 Cd 2.31
O (0.3663, 0.3054, 0.5577)  1 U 2.09, 1 Ni 2.09, 1 Cd 2.31
O (0.6337, 0.6946, 0.4423)  1 U 2.09, 1 Ni 2.09, 1 Cd 2.31
O (0.6337, 0.8054, 0.9423)  1 U 2.09, 1 Ni 2.09, 1 Cd 2.31
O (0.7522, 0.1950, 0.4402)  1 U 2.08, 1 Ni 2.11, 1 Cd 2.29
O (0.7522, 0.3050, 0.9402)  1 U 2.08, 1 Ni 2.11, 1 Cd 2.29
O (0.8582, 0.5543, 0.2489)  1 Ni 2.13, 1 U 2.14, 2 Cd 2.28-2.37
O (0.8582, 0.9457, 0.7489)  1 Ni 2.13, 1 U 2.14, 2 Cd 2.28-2.37

Output
Space-group type: P2_1/c
Spin magnetization: 2.00 μB/f.u.
E_tot: -128.10 eV/cell